Record 1
Density functional theory data (PBE) for a relaxed ScAl crystal.

Cell and atoms, written as extended XYZ:
```
16
Lattice="8.504 0.000 0.000 0.000 8.504 0.000 0.000 0.000 4.677" Properties=species:S:1:pos:R:3 pbc="T T T"
Sc 0.000 5.975 2.339
Sc 0.000 2.529 2.339
Sc 1.723 4.252 0.000
Sc 2.529 0.000 2.339
Sc 4.252 6.781 0.000
Sc 6.781 4.252 0.000
Sc 5.975 0.000 2.339
Sc 4.252 1.723 0.000
Al 7.172 1.332 0.000
Al 2.920 5.584 2.339
Al 1.332 7.172 0.000
Al 5.584 5.584 2.339
Al 1.332 1.332 0.000
Al 5.584 2.920 2.339
Al 2.920 2.920 2.339
Al 7.172 7.172 0.000
```

Summary:
VASP energy (eV per atom): -5.185
Energy of formation from the pure elements (eV/atom): -0.148
SG: I4/mmm (139)
Total moment (μB per cell): 0.000
N(E_F) (states/eV per cell): 15.8

---

Record 2
Density functional theory data (PBE) for a relaxed LaSmDy3 crystal.

Cell and atoms, written as extended XYZ:
```
10
Lattice="6.344 0.082 -0.116 -3.379 6.984 -5.826 0.203 -1.931 9.131" Properties=species:S:1:pos:R:3 pbc="T T T"
Sm -2.773 5.784 -2.959
Sm 5.940 -0.648 6.148
Dy -0.474 2.038 3.926
Dy 0.445 4.430 -1.864
Dy 3.642 3.097 -0.737
Dy 0.526 1.639 0.490
Dy 2.722 0.705 5.052
Dy 2.641 3.496 2.699
La 3.708 0.277 1.646
La -0.541 4.859 1.542
```

Summary:
VASP energy (eV per atom): -4.664
Energy of formation from the pure elements (eV/atom): 0.026
SG: P-1 (2)
Total moment (μB per cell): 0.000
N(E_F) (states/eV per cell): 17.3

---

Record 3
Density functional theory data (PBE) for a relaxed Cd2H2Rh crystal.

Cell and atoms, written as extended XYZ:
```
5
Lattice="-1.009 -1.972 -2.223 2.971 -0.617 -0.801 1.119 -6.207 2.784" Properties=species:S:1:pos:R:3 pbc="T T T"
Rh 0.000 0.000 0.000
Cd 2.063 -6.163 0.101
Cd 1.019 -2.633 -0.341
H 0.546 -4.737 -0.475
H 2.536 -4.059 0.236
```

Summary:
VASP energy (eV per atom): -2.834
SG: I4/mmm (139)
Total moment (μB per cell): 0.000
N(E_F) (states/eV per cell): 2.6

---

Record 4
Density functional theory data (PBE) for a relaxed La4W3 crystal.

Cell and atoms, written as extended XYZ:
```
7
Lattice="-0.308 3.806 -3.996 -1.631 -5.187 -0.992 -5.985 1.517 1.905" Properties=species:S:1:pos:R:3 pbc="T T T"
W -0.815 -2.594 -0.496
W -0.154 1.903 -1.998
W -0.969 -0.691 -2.494
La -1.552 0.393 0.494
La -4.182 -1.431 -1.041
La -3.741 1.567 -2.042
La -4.434 1.124 1.411
```

Summary:
VASP energy (eV per atom): -7.910
Energy of formation from the pure elements (eV/atom): 0.457
SG: P6/mmm (191)
Total moment (μB per cell): 0.000
N(E_F) (states/eV per cell): 8.8